Crystalline ZnHgW2 at its relaxed geometry, computed with PBE-GGA.

D(E_F) ... 3.194 states/eV/cell
Uncorrected energy ... -6.22 eV/atom

Cell lengths 5.4387, 8.9513, 2.7532 Å; angles 90.00, 90.00, 90.00 degrees
Closest atoms and distances in Å follow each position.
Space group Cmmm (No. 65)
One atom of each set of equivalent atoms:
Zn  0.0000  0.0000  0.0000 (multiplicity 2)  2 Hg 2.72, 2 Zn 2.75, 8 W 2.96
Hg  0.0000  0.5000  0.0000 (multiplicity 2)  2 Zn 2.72, 2 Hg 2.75, 8 W 2.96
W  0.2500  0.2500  0.5000 (multiplicity 4)  4 W 2.72-2.75, 4 Hg 2.96, 4 Zn 2.96